Record 1
FePt2Rh: relaxed, PBE.

Geometry as POSCAR:
```
FePt2Rh
1.0
2.626 0.000 -0.784
0.209 4.715 0.700
0.053 1.556 4.967
Fe Pt Rh
1 2 1
Cartesian
2.018 1.178 1.969
0.051 0.794 0.170
0.798 3.494 2.671
1.492 4.718 4.997
```

Computed properties:
ΔH_f (0 K), eV/atom: -0.107
VASP energy, eV per cell: -28.3

---

Record 2
OsPdF2: relaxed, PBE.

Geometry as POSCAR:
```
OsPdF2
1.0
-8.246 0.104 -0.812
-7.853 -2.557 -0.677
-8.058 -1.110 1.585
Os Pd F
1 1 2
Cartesian
-12.078 -1.781 0.048
0.000 0.000 0.000
-22.136 -3.265 0.088
-2.021 -0.298 0.008
```

Computed properties:
Formation energy without anion corrections, meV per atom: -124
VASP energy, eV per cell: -20.7

---

Record 3
KPb: relaxed, PBE.

Geometry as POSCAR:
```
KPb
1.0
6.430 -0.027 -0.016
5.349 3.569 -0.016
5.349 1.609 3.186
K Pb
1 1
Cartesian
0.000 0.000 0.000
8.564 2.576 1.577
```

Computed properties:
ΔH_f (0 K), eV/atom: 0.038
VASP energy, eV per cell: -4.7

---

Record 4
Cs2NaCd3Au4: relaxed, PBE.

Geometry as POSCAR:
```
Cs2NaCd3Au4
1.0
5.129 0.000 0.000
0.000 5.129 0.000
0.000 0.000 11.342
Cs Na Cd Au
2 1 3 4
Cartesian
2.564 0.000 2.720
0.000 2.564 8.622
2.564 2.564 5.671
0.000 0.000 5.671
2.564 0.000 10.071
0.000 2.564 1.272
2.564 2.564 0.000
0.000 0.000 0.000
2.564 0.000 7.197
0.000 2.564 4.145
```

Computed properties:
ΔH_f (0 K), eV/atom: -0.235
VASP energy, eV per cell: -21.2

---

no.,M_tot (μB/atom)
1,1.088
2,0.055
3,0.004
4,0.000